Entry 1:
## Li2FeAg (PBE)

Data for a relaxed Li2FeAg crystal.

Output
total energy	-3.583	eV per atom
formation energy	0.81	eV/f.u.

Lattice parameters (Å, degrees): 2.785 4.606 4.674 90.00 90.00 90.00
Element x y z (fractional)
Li  0.000  0.000  0.000
Li  0.500  0.000  0.500
Fe  0.000  0.500  0.500
Ag  0.500  0.500  0.000



Entry 2:
## Li2FeAg2 (PBE)

Data for a relaxed Li2FeAg2 crystal.

Output
total energy	-3.381	eV per atom
distance to the lowest polymorph of the same formula	29.4	meV per atom
formation energy	1.09	eV/f.u.

Lattice parameters (Å, degrees): 7.305 7.305 2.956 90.00 90.00 90.00
Element x y z (fractional)
Li  0.154  0.346  0.000
Li  0.346  0.846  0.000
Li  0.654  0.154  0.000
Li  0.846  0.654  0.000
Fe  0.000  0.000  0.500
Fe  0.500  0.500  0.500
Ag  0.146  0.646  0.500
Ag  0.354  0.146  0.500
Ag  0.646  0.854  0.500
Ag  0.854  0.354  0.500



Entry 3:
## LiFeAg2 (PBE)

Data for a relaxed LiFeAg2 crystal.

Output
total energy	-3.846	eV per atom
formation energy	0.69	eV/f.u.

Lattice parameters (Å, degrees): 4.921 4.921 4.820 97.67 97.67 32.69
Element x y z (fractional)
Li  0.000  0.000  0.000
Fe  0.245  0.245  0.706
Ag  0.500  0.500  0.511
Ag  0.749  0.749  0.203



Entry 4:
## Li2FeAg (PBE)

Data for a relaxed Li2FeAg crystal.

Output
total energy	-3.598	eV per atom
formation energy	0.75	eV/f.u.

Lattice parameters (Å, degrees): 2.624 4.281 5.459 90.00 101.93 90.00
Element x y z (fractional)
Li  0.000  0.000  0.000
Li  0.386  0.500  0.249
Fe  0.480  0.500  0.744
Ag  0.911  0.000  0.509



Entry 5:
## LiFeAg2 (PBE)

Data for a relaxed LiFeAg2 crystal.

Output
total energy	-3.788	eV per atom
formation energy	0.93	eV/f.u.

Lattice parameters (Å, degrees): 5.006 5.006 5.006 134.72 134.72 65.97
Element x y z (fractional)
Li  0.000  0.000  0.000
Fe  0.750  0.250  0.500
Ag  0.250  0.750  0.500
Ag  0.500  0.500  0.000



Entry 6:
## Li2FeAg (PBE)

Data for a relaxed Li2FeAg crystal.

Output
total energy	-3.356	eV per atom
formation energy	1.72	eV/f.u.

Lattice parameters (Å, degrees): 5.558 5.558 5.558 102.98 102.98 123.41
Element x y z (fractional)
Li  0.124  0.125  0.499
Li  0.375  0.876  0.001
Li  0.626  0.625  0.501
Li  0.875  0.374  0.999
Fe  0.250  0.750  0.500
Fe  0.500  0.500  0.000
Ag  0.000  0.000  0.000
Ag  0.750  0.250  0.500



Entry 7:
## LiFe2Ag (PBE)

Data for a relaxed LiFe2Ag crystal.

Output
total energy	-4.996	eV per atom
formation energy	1.71	eV/f.u.

Lattice parameters (Å, degrees): 2.624 2.624 8.177 90.00 90.00 90.00
Element x y z (fractional)
Li  0.000  0.000  0.000
Fe  0.500  0.500  0.239
Fe  0.500  0.500  0.761
Ag  0.000  0.000  0.500



Entry 8:
## LiFeAg2 (PBE)

Data for a relaxed LiFeAg2 crystal.

Output
total energy	-3.797	eV per atom
formation energy	0.89	eV/f.u.

Lattice parameters (Å, degrees): 9.407 9.407 9.407 17.19 17.19 17.19
Element x y z (fractional)
Li  0.000  0.000  0.000
Fe  0.746  0.746  0.746
Ag  0.251  0.251  0.251
Ag  0.494  0.494  0.494



Copy entry 8 word for word.
## LiFeAg2 (PBE)

Data for a relaxed LiFeAg2 crystal.

Output
total energy	-3.797	eV per atom
formation energy	0.89	eV/f.u.

Lattice parameters (Å, degrees): 9.407 9.407 9.407 17.19 17.19 17.19
Element x y z (fractional)
Li  0.000  0.000  0.000
Fe  0.746  0.746  0.746
Ag  0.251  0.251  0.251
Ag  0.494  0.494  0.494